Below is a crystal of Y2CrSe2 relaxed with PBEsol, with properties calculated at the meta-GGA SCAN level.

Results
calculated density	4.4	g/cm3
formation energy from raw total energies	-823	meV/atom
calculated volume	29.28	A^3/atom

Structure (CIF):
```
data_Y2CrSe2
_space_group_name_H-M_alt 'I 4/m m m'
_space_group_IT_number 139
_space_group_name_Hall '-I 4 2'
_cell_length_a 4.828
_cell_length_b 4.828
_cell_length_c 12.560
_cell_angle_alpha 90.00
_cell_angle_beta 90.00
_cell_angle_gamma 90.00
loop_
_atom_site_label
_atom_site_type_symbol
_atom_site_fract_x
_atom_site_fract_y
_atom_site_fract_z
Y1 Y 0.000 0.000 0.143
Cr1 Cr 0.000 0.000 0.500
Se1 Se 0.000 0.500 0.250
```